1.
A geometry-optimized PrCoSi structure. Source: OQMD via LeMat-Bulk, functional PBE. Values from VASP.

Properties
The space group is No. 216. As for the total energy: -17.73 eV for the cell shown.

```
&SYSTEM
  ibrav = 0, nat = 3, ntyp = 3
/
ATOMIC_SPECIES
Co 58.93 Co.upf
Pr 140.91 Pr.upf
Si 28.09 Si.upf
CELL_PARAMETERS angstrom
-4.039 0.244 1.740
-3.087 2.474 -1.937
-3.398 -1.919 -2.044
ATOMIC_POSITIONS crystal
Co 0.000 0.000 0.000
Pr 0.250 0.250 0.250
Si 0.750 0.750 0.750
```



2.
A geometry-optimized MgInReW structure. Source: OQMD via LeMat-Bulk, functional PBE. Values from VASP.

Properties
The distance to the lowest polymorph of the same formula comes out at 0 meV per atom. The space group is No. 216. As for the total energy: -28.42 eV for the cell shown.

```
&SYSTEM
  ibrav = 0, nat = 4, ntyp = 4
/
ATOMIC_SPECIES
In 114.82 In.upf
Mg 24.30 Mg.upf
Re 186.21 Re.upf
W 183.84 W.upf
CELL_PARAMETERS angstrom
0.000 3.226 3.226
3.226 0.000 3.226
3.226 3.226 0.000
ATOMIC_POSITIONS crystal
In 0.500 0.500 0.500
Mg 0.750 0.750 0.750
Re 0.250 0.250 0.250
W 0.000 0.000 0.000
```



3.
A geometry-optimized Lu4Sc2Cu3N3 structure. Source: OQMD via LeMat-Bulk, functional PBE. Values from VASP.

Properties
The space group is No. 15. As for the total energy: -153.54 eV for the cell shown.

```
&SYSTEM
  ibrav = 0, nat = 24, ntyp = 4
/
ATOMIC_SPECIES
Cu 63.55 Cu.upf
Lu 174.97 Lu.upf
N 14.01 N.upf
Sc 44.96 Sc.upf
CELL_PARAMETERS angstrom
0.182 5.619 0.857
-4.514 3.223 -1.253
-3.578 -4.891 13.518
ATOMIC_POSITIONS crystal
Cu 0.584 0.886 0.250
Cu 0.065 0.935 0.250
Cu 0.114 0.416 0.250
Cu 0.886 0.584 0.750
Cu 0.935 0.065 0.750
Cu 0.416 0.114 0.750
Lu 0.199 0.029 0.090
Lu 0.862 0.697 0.090
Lu 0.303 0.138 0.410
Lu 0.971 0.801 0.410
Lu 0.029 0.199 0.590
Lu 0.697 0.862 0.590
Lu 0.138 0.303 0.910
Lu 0.801 0.971 0.910
N 0.500 0.000 0.000
N 0.824 0.338 0.000
N 0.176 0.662 0.000
N 0.338 0.824 0.500
N 0.000 0.500 0.500
N 0.662 0.176 0.500
Sc 0.532 0.370 0.094
Sc 0.630 0.468 0.406
Sc 0.370 0.532 0.594
Sc 0.468 0.630 0.906
```



4.
A geometry-optimized DyTcHg structure. Source: OQMD via LeMat-Bulk, functional PBE. Values from VASP.

Properties
The distance to the lowest polymorph of the same formula comes out at 0 meV per atom. The space group is No. 166. As for the total energy: -29.63 eV for the cell shown. Its formation energy is 0.1484 eV per atom.

```
&SYSTEM
  ibrav = 0, nat = 6, ntyp = 3
/
ATOMIC_SPECIES
Dy 162.50 Dy.upf
Hg 200.59 Hg.upf
Tc 98.00 Tc.upf
CELL_PARAMETERS angstrom
0.002 7.615 1.189
4.102 5.963 2.647
3.361 6.672 -1.893
ATOMIC_POSITIONS crystal
Dy 0.281 0.281 0.281
Dy 0.719 0.719 0.719
Hg 0.433 0.433 0.433
Hg 0.567 0.567 0.567
Tc 0.156 0.156 0.156
Tc 0.844 0.844 0.844
```



5.
A geometry-optimized TlAsPtO structure. Source: OQMD via LeMat-Bulk, functional PBE. Values from VASP.

Properties
The distance to the lowest polymorph of the same formula comes out at 658 meV per atom. The space group is No. 129. As for the total energy: -32.99 eV for the cell shown.

```
&SYSTEM
  ibrav = 0, nat = 8, ntyp = 4
/
ATOMIC_SPECIES
As 74.92 As.upf
O 16.00 O.upf
Pt 195.08 Pt.upf
Tl 204.38 Tl.upf
CELL_PARAMETERS angstrom
4.404 0.000 0.000
0.000 4.404 0.000
0.000 0.000 8.065
ATOMIC_POSITIONS crystal
As 0.750 0.750 0.264
As 0.250 0.250 0.736
O 0.750 0.250 0.000
O 0.250 0.750 0.000
Pt 0.250 0.250 0.043
Pt 0.750 0.750 0.957
Tl 0.750 0.250 0.500
Tl 0.250 0.750 0.500
```



6.
A geometry-optimized Rb2Ni3S4 structure. Source: OQMD via LeMat-Bulk, functional PBE. Values from VASP.

Properties
The space group is No. 69. As for the total energy: -41.68 eV for the cell shown.

```
&SYSTEM
  ibrav = 0, nat = 9, ntyp = 3
/
ATOMIC_SPECIES
Ni 58.69 Ni.upf
Rb 85.47 Rb.upf
S 32.06 S.upf
CELL_PARAMETERS angstrom
0.000 4.999 6.999
2.952 0.000 6.999
2.952 4.999 0.000
ATOMIC_POSITIONS crystal
Ni 0.500 0.500 0.000
Ni 0.000 0.000 0.500
Ni 0.500 0.500 0.500
Rb 0.842 0.842 0.158
Rb 0.158 0.158 0.842
S 0.435 0.770 0.230
S 0.230 0.565 0.435
S 0.770 0.435 0.565
S 0.565 0.230 0.770
```



7.
A geometry-optimized Pu2GePt structure. Source: OQMD via LeMat-Bulk, functional PBE. Values from VASP.

Properties
The space group is No. 123. As for the total energy: -41.79 eV for the cell shown.

```
&SYSTEM
  ibrav = 0, nat = 4, ntyp = 3
/
ATOMIC_SPECIES
Ge 72.64 Ge.upf
Pt 195.08 Pt.upf
Pu 244.00 Pu.upf
CELL_PARAMETERS angstrom
3.811 0.000 0.000
0.000 3.811 0.000
0.000 0.000 5.789
ATOMIC_POSITIONS crystal
Ge 0.500 0.500 0.000
Pt 0.500 0.500 0.500
Pu 0.000 0.000 0.248
Pu 0.000 0.000 0.752
```



8.
A geometry-optimized KPaO3 structure. Source: OQMD via LeMat-Bulk, functional PBE. Values from VASP.

Properties
The space group is No. 62. As for the total energy: -151.18 eV for the cell shown.

```
&SYSTEM
  ibrav = 0, nat = 20, ntyp = 3
/
ATOMIC_SPECIES
K 39.10 K.upf
O 16.00 O.upf
Pa 231.04 Pa.upf
CELL_PARAMETERS angstrom
-4.329 2.430 -2.319
-2.515 0.476 5.194
4.887 10.084 1.443
ATOMIC_POSITIONS crystal
K 0.500 0.000 0.000
K 0.000 0.500 0.000
K 0.500 0.000 0.500
K 0.000 0.500 0.500
O 0.740 0.263 0.135
O 0.760 0.763 0.135
O 0.236 0.287 0.250
O 0.264 0.787 0.250
O 0.740 0.263 0.365
O 0.760 0.763 0.365
O 0.240 0.237 0.635
O 0.260 0.737 0.635
O 0.736 0.213 0.750
O 0.764 0.713 0.750
O 0.240 0.237 0.865
O 0.260 0.737 0.865
Pa 0.945 0.020 0.250
Pa 0.555 0.520 0.250
Pa 0.445 0.480 0.750
Pa 0.055 0.980 0.750
```



9.
A geometry-optimized BaNbNO2 structure. Source: OQMD via LeMat-Bulk, functional PBE. Values from VASP.

Properties
The space group is No. 123. As for the total energy: -40.74 eV for the cell shown.

```
&SYSTEM
  ibrav = 0, nat = 5, ntyp = 4
/
ATOMIC_SPECIES
Ba 137.33 Ba.upf
N 14.01 N.upf
Nb 92.91 Nb.upf
O 16.00 O.upf
CELL_PARAMETERS angstrom
-3.817 -0.684 1.429
-1.120 -1.469 -3.697
1.120 -3.800 1.171
ATOMIC_POSITIONS crystal
Ba 0.000 0.000 0.000
N 0.500 0.500 0.000
Nb 0.500 0.500 0.500
O 0.500 0.000 0.500
O 0.000 0.500 0.500
```



10.
A geometry-optimized NdHgSO structure. Source: OQMD via LeMat-Bulk, functional PBE. Values from VASP.

Properties
The distance to the lowest polymorph of the same formula comes out at 480 meV per atom. The space group is No. 29. As for the total energy: -77.78 eV for the cell shown.

```
&SYSTEM
  ibrav = 0, nat = 16, ntyp = 4
/
ATOMIC_SPECIES
Hg 200.59 Hg.upf
Nd 144.24 Nd.upf
O 16.00 O.upf
S 32.06 S.upf
CELL_PARAMETERS angstrom
7.940 0.000 0.000
0.000 8.855 0.000
0.000 0.000 5.516
ATOMIC_POSITIONS crystal
Hg 0.162 0.111 0.500
Hg 0.662 0.889 0.500
Hg 0.338 0.111 0.000
Hg 0.838 0.889 0.000
Nd 0.945 0.322 0.059
Nd 0.445 0.678 0.059
Nd 0.555 0.322 0.559
Nd 0.055 0.678 0.559
O 0.992 0.089 0.130
O 0.492 0.911 0.130
O 0.508 0.089 0.630
O 0.008 0.911 0.630
S 0.599 0.383 0.061
S 0.099 0.617 0.061
S 0.901 0.383 0.561
S 0.401 0.617 0.561
```



11.
A geometry-optimized KTbHg3S4 structure. Source: OQMD via LeMat-Bulk, functional PBE. Values from VASP.

Properties
The distance to the lowest polymorph of the same formula comes out at 31 meV per atom. The space group is No. 215. As for the total energy: -29.10 eV for the cell shown.

```
&SYSTEM
  ibrav = 0, nat = 9, ntyp = 4
/
ATOMIC_SPECIES
Hg 200.59 Hg.upf
K 39.10 K.upf
S 32.06 S.upf
Tb 158.93 Tb.upf
CELL_PARAMETERS angstrom
6.706 0.000 0.000
0.000 6.706 0.000
0.000 0.000 6.706
ATOMIC_POSITIONS crystal
Hg 0.500 0.500 0.000
Hg 0.500 0.000 0.500
Hg 0.000 0.500 0.500
K 0.000 0.000 0.000
S 0.276 0.276 0.276
S 0.724 0.724 0.276
S 0.724 0.276 0.724
S 0.276 0.724 0.724
Tb 0.500 0.500 0.500
```



12.
A geometry-optimized Nb2S3 structure. Source: OQMD via LeMat-Bulk, functional PBE. Values from VASP.

Properties
The space group is No. 70. As for the total energy: -150.03 eV for the cell shown.

```
&SYSTEM
  ibrav = 0, nat = 20, ntyp = 2
/
ATOMIC_SPECIES
Nb 92.91 Nb.upf
S 32.06 S.upf
CELL_PARAMETERS angstrom
-5.276 10.512 1.030
-0.428 11.000 -2.485
-4.958 0.134 -3.391
ATOMIC_POSITIONS crystal
Nb 0.935 0.935 0.065
Nb 0.315 0.315 0.185
Nb 0.747 0.747 0.253
Nb 0.185 0.185 0.315
Nb 0.997 0.997 0.503
Nb 0.253 0.253 0.747
Nb 0.065 0.065 0.935
Nb 0.503 0.503 0.997
S 0.924 0.404 0.077
S 0.326 0.846 0.173
S 0.710 0.290 0.290
S 0.173 0.655 0.326
S 0.595 0.077 0.404
S 0.960 0.540 0.540
S 0.404 0.924 0.595
S 0.846 0.326 0.655
S 0.290 0.710 0.710
S 0.655 0.173 0.846
S 0.077 0.595 0.924
S 0.540 0.960 0.960
```



13.
A geometry-optimized Ho5CSe4 structure. Source: OQMD via LeMat-Bulk, functional PBE. Values from VASP.

Properties
The space group is No. 79. As for the total energy: -61.25 eV for the cell shown.

```
&SYSTEM
  ibrav = 0, nat = 10, ntyp = 3
/
ATOMIC_SPECIES
C 12.01 C.upf
Ho 164.93 Ho.upf
Se 78.96 Se.upf
CELL_PARAMETERS angstrom
-4.456 4.456 2.807
4.456 -4.456 2.807
4.456 4.456 -2.807
ATOMIC_POSITIONS crystal
C 0.999 0.999 0.000
Ho 0.499 0.499 0.000
Ho 0.908 0.258 0.168
Ho 0.258 0.090 0.350
Ho 0.740 0.908 0.650
Ho 0.090 0.740 0.832
Se 0.407 0.805 0.215
Se 0.805 0.590 0.398
Se 0.193 0.407 0.602
Se 0.590 0.193 0.785
```



14.
A geometry-optimized DyMgTlTe3 structure. Source: OQMD via LeMat-Bulk, functional PBE. Values from VASP.

Properties
The space group is No. 63. As for the total energy: -47.35 eV for the cell shown.

```
&SYSTEM
  ibrav = 0, nat = 12, ntyp = 4
/
ATOMIC_SPECIES
Dy 162.50 Dy.upf
Mg 24.30 Mg.upf
Te 127.60 Te.upf
Tl 204.38 Tl.upf
CELL_PARAMETERS angstrom
-7.268 1.783 -2.985
4.499 -1.639 6.480
2.264 11.442 1.322
ATOMIC_POSITIONS crystal
Dy 0.500 0.500 0.000
Dy 0.500 0.500 0.500
Mg 0.036 0.964 0.250
Mg 0.964 0.036 0.750
Te 0.134 0.866 0.054
Te 0.425 0.575 0.250
Te 0.134 0.866 0.446
Te 0.866 0.134 0.554
Te 0.575 0.425 0.750
Te 0.866 0.134 0.946
Tl 0.742 0.258 0.250
Tl 0.258 0.742 0.750
```



15.
A geometry-optimized CoTcGeAu structure. Source: OQMD via LeMat-Bulk, functional PBE. Values from VASP.

Properties
The distance to the lowest polymorph of the same formula comes out at 0 meV per atom. The space group is No. 216. As for the total energy: -24.34 eV for the cell shown.

```
&SYSTEM
  ibrav = 0, nat = 4, ntyp = 4
/
ATOMIC_SPECIES
Au 196.97 Au.upf
Co 58.93 Co.upf
Ge 72.64 Ge.upf
Tc 98.00 Tc.upf
CELL_PARAMETERS angstrom
1.205 -3.146 2.767
-2.974 -2.764 1.587
-0.015 -4.163 -1.293
ATOMIC_POSITIONS crystal
Au 0.500 0.500 0.500
Co 0.750 0.750 0.750
Ge 0.000 0.000 0.000
Tc 0.250 0.250 0.250
```



16.
A geometry-optimized Pr2Dy3Co2B6 structure. Source: OQMD via LeMat-Bulk, functional PBE. Values from VASP.

Properties
The distance to the lowest polymorph of the same formula comes out at 0 meV per atom. The space group is No. 166. As for the total energy: -83.82 eV for the cell shown.

```
&SYSTEM
  ibrav = 0, nat = 13, ntyp = 4
/
ATOMIC_SPECIES
B 10.81 B.upf
Co 58.93 Co.upf
Dy 162.50 Dy.upf
Pr 140.91 Pr.upf
CELL_PARAMETERS angstrom
-7.758 -2.554 2.602
-4.819 -6.959 1.353
-4.053 -4.437 6.113
ATOMIC_POSITIONS crystal
B 0.832 0.500 0.168
B 0.500 0.832 0.168
B 0.832 0.168 0.500
B 0.168 0.832 0.500
B 0.500 0.168 0.832
B 0.168 0.500 0.832
Co 0.121 0.121 0.121
Co 0.879 0.879 0.879
Dy 0.000 0.000 0.000
Dy 0.419 0.419 0.419
Dy 0.581 0.581 0.581
Pr 0.255 0.255 0.255
Pr 0.745 0.745 0.745
```



17.
A geometry-optimized Dy3Ga4Ag2 structure. Source: OQMD via LeMat-Bulk, functional PBE. Values from VASP.

Properties
The space group is No. 12. As for the total energy: -36.55 eV for the cell shown.

```
&SYSTEM
  ibrav = 0, nat = 9, ntyp = 3
/
ATOMIC_SPECIES
Ag 107.87 Ag.upf
Dy 162.50 Dy.upf
Ga 69.72 Ga.upf
CELL_PARAMETERS angstrom
5.329 -2.276 0.000
5.329 2.276 0.000
-3.505 0.000 7.802
ATOMIC_POSITIONS crystal
Ag 0.605 0.605 0.272
Ag 0.395 0.395 0.728
Dy 0.000 0.000 0.000
Dy 0.330 0.330 0.340
Dy 0.670 0.670 0.660
Ga 0.743 0.743 0.076
Ga 0.034 0.034 0.370
Ga 0.966 0.966 0.630
Ga 0.257 0.257 0.924
```



18.
A geometry-optimized DyTmB2Pd2C2 structure. Source: OQMD via LeMat-Bulk, functional PBE. Values from VASP.

Properties
The space group is No. 99. As for the total energy: -55.45 eV for the cell shown.

```
&SYSTEM
  ibrav = 0, nat = 8, ntyp = 5
/
ATOMIC_SPECIES
B 10.81 B.upf
C 12.01 C.upf
Dy 162.50 Dy.upf
Pd 106.42 Pd.upf
Tm 168.93 Tm.upf
CELL_PARAMETERS angstrom
3.737 0.000 0.000
0.000 3.737 0.000
0.000 0.000 7.745
ATOMIC_POSITIONS crystal
B 0.000 0.000 0.162
B 0.500 0.500 0.836
C 0.000 0.000 0.352
C 0.500 0.500 0.646
Dy 0.000 0.000 0.659
Pd 0.500 0.000 0.001
Pd 0.000 0.500 0.001
Tm 0.500 0.500 0.343
```



19.
A geometry-optimized Sr2Tl4IrPt structure. Source: OQMD via LeMat-Bulk, functional PBE. Values from VASP.

Properties
The space group is No. 38. As for the total energy: -30.18 eV for the cell shown.

```
&SYSTEM
  ibrav = 0, nat = 8, ntyp = 4
/
ATOMIC_SPECIES
Ir 192.22 Ir.upf
Pt 195.08 Pt.upf
Sr 87.62 Sr.upf
Tl 204.38 Tl.upf
CELL_PARAMETERS angstrom
8.287 0.000 0.000
0.000 2.219 5.534
0.000 -2.219 5.534
ATOMIC_POSITIONS crystal
Ir 0.000 0.220 0.220
Pt 0.500 0.779 0.779
Sr 0.500 0.065 0.065
Sr 0.000 0.935 0.935
Tl 0.297 0.355 0.355
Tl 0.703 0.355 0.355
Tl 0.196 0.646 0.646
Tl 0.804 0.646 0.646
```



20.
A geometry-optimized DyTlPdS3 structure. Source: OQMD via LeMat-Bulk, functional PBE. Values from VASP.

Properties
The distance to the lowest polymorph of the same formula comes out at 8 meV per atom. The space group is No. 63. As for the total energy: -60.31 eV for the cell shown.

```
&SYSTEM
  ibrav = 0, nat = 12, ntyp = 4
/
ATOMIC_SPECIES
Dy 162.50 Dy.upf
Pd 106.42 Pd.upf
S 32.06 S.upf
Tl 204.38 Tl.upf
CELL_PARAMETERS angstrom
1.969 -7.333 0.000
1.969 7.333 0.000
0.000 0.000 10.128
ATOMIC_POSITIONS crystal
Dy 0.000 0.000 0.000
Dy 0.000 0.000 0.500
Pd 0.512 0.488 0.250
Pd 0.488 0.512 0.750
S 0.621 0.379 0.072
S 0.918 0.082 0.250
S 0.621 0.379 0.428
S 0.379 0.621 0.572
S 0.082 0.918 0.750
S 0.379 0.621 0.928
Tl 0.244 0.756 0.250
Tl 0.756 0.244 0.750
```